Record 1
# DyYSc

A geometry-optimized DyYSc structure (PBE, Alexandria).

a = 9.431 Å, b = 9.431 Å, c = 9.431 Å
α = 20.52°, β = 20.52°, γ = 20.52°
Fractional coordinates of all 3 atoms:
Dy  0.000  0.000  0.000
Y  0.123  0.123  0.123
Sc  0.239  0.239  0.239

Results
The space group is No. 160. For the energy above the most stable polymorph in this dataset, the calculation gives 229 meV per atom. The calculation puts the calculated total energy at -16.59 eV per cell. The energy of formation from the pure elements comes out at 0.268 eV/atom. As for the density of states at the Fermi level: 2.04 states/eV/atom. The calculation puts the density at 5.456 g/cm3.

Record 2
# BaNi3

A geometry-optimized BaNi3 structure (PBE, Alexandria).

a = 6.944 Å, b = 6.944 Å, c = 4.030 Å
α = 90.00°, β = 90.00°, γ = 120.00°
Fractional coordinates of all 8 atoms:
Ba  0.333  0.667  0.250
Ba  0.667  0.333  0.750
Ni  0.114  0.228  0.750
Ni  0.114  0.886  0.750
Ni  0.228  0.114  0.250
Ni  0.772  0.886  0.750
Ni  0.886  0.114  0.250
Ni  0.886  0.772  0.250

Results
The space group is No. 194. The calculation puts the calculated total energy at -36.68 eV per cell. The energy of formation from the pure elements comes out at 0.232 eV/atom. As for the density of states at the Fermi level: 2.08 states/eV/atom. The calculation puts the density at 6.186 g/cm3.

- Which value of calculated total energy does entry 1 give?
  -16.59 eV per cell